SrOsSe, optimized geometry, DFT PBE-GGA; electronic total energy = -31.9 eV for the cell shown; E_form (uncorrected) = 0.44 eV/f.u.; symmetry = No. 44; spin magnetization = 0.0000 μB per atom; offset from the most stable computed form = 0.296 eV/atom
1.0
3.224 0.000 0.000
0.000 3.664 0.000
0.000 0.000 11.086
Sr Os Se
2 2 2
Direct
0.000 0.000 0.000
0.500 0.500 0.500
0.000 0.000 0.704
0.500 0.500 0.204
0.000 0.000 0.283
0.500 0.500 0.783

La4CoTe, optimized geometry, DFT PBE-GGA; electronic total energy = -27.8 eV for the cell shown; E_form (uncorrected) = 2.18 eV/f.u.; symmetry = No. 216; spin magnetization = 0.2168 μB per atom; offset from the most stable computed form = 0.878 eV/atom
1.0
0.000 4.498 4.498
4.498 0.000 4.498
4.498 4.498 0.000
La Co Te
4 1 1
Direct
0.125 0.125 0.125
0.125 0.125 0.625
0.125 0.625 0.125
0.625 0.125 0.125
0.500 0.500 0.500
0.750 0.750 0.750

NpTlIn2Br6, optimized geometry, DFT PBE-GGA; electronic total energy = -40.5 eV for the cell shown; E_form (uncorrected) = -9.70 eV/f.u.; symmetry = No. 146; spin magnetization = 0.4000 μB per atom
1.0
4.081 2.356 7.109
-4.081 2.356 7.109
0.000 -4.712 7.109
Np Tl In Br
1 1 2 6
Direct
0.000 0.000 0.000
0.491 0.491 0.491
0.200 0.200 0.200
0.692 0.692 0.692
0.095 0.809 0.359
0.247 0.656 0.881
0.359 0.095 0.809
0.656 0.881 0.247
0.809 0.359 0.095
0.881 0.247 0.656